The following is a DFT calculation (PBE) of La3EuNi after structural relaxation.

The structure in POSCAR format:
```
La3EuNi
1.0
5.642 0.000 0.000
0.000 5.642 0.000
0.000 0.000 5.642
La Eu Ni
3 1 1
direct
0.000 0.000 0.500
0.000 0.500 0.000
0.500 0.000 0.000
0.500 0.500 0.500
0.000 0.000 0.000
```

symmetry = Pm-3m (221)
magnetic moment = 1.753 μB/atom
uncorrected energy = -6.2132 eV/atom